Here is crystalline Ba7Nb4MoO20 at its relaxed geometry from Alexandria. Energies are from GGA+U.

total magnetic moment	0.0	μB/f.u.
VASP energy	-247.10	eV/f.u.
calculated volume	16.23	Å³ per atom

a = 5.9669 Å, b = 5.9669 Å, c = 16.8444 Å
α = 90.00°, β = 90.00°, γ = 120.00°
With the nearest neighbours (Å) after each atom.
Fractional positions:
Ba 0.0000 0.0000 0.0000  4 O 2.66-2.71
Ba 0.0000 0.0000 0.2499  12 O 2.86-2.98
Ba 0.3333 0.6667 0.1140  9 O 2.89-2.98
Ba 0.3333 0.6667 0.5473  12 O 2.94-3.14
Ba 0.3333 0.6667 0.8149  6 O 2.68-2.89
Ba 0.6667 0.3333 0.3961  12 O 2.82-2.99
Ba 0.6667 0.3333 0.6457  4 O 2.68-2.77
Nb 0.0000 0.0000 0.4739  3 O 1.89
Nb 0.0000 0.0000 0.7272  4 O 1.87-1.88
Nb 0.3333 0.6667 0.3251  6 O 2.01-2.07
Nb 0.6667 0.3333 0.1723  3 O 1.90
Mo 0.6667 0.3333 0.9170  4 O 1.80
O 0.0000 0.0000 0.8388  1 Nb 1.88
O 0.0084 0.5042 0.2533  2 Nb 2.07-2.23
O 0.1700 0.3400 0.3903  2 Nb 2.01-2.25
O 0.1700 0.8300 0.3903  2 Nb 2.01-2.25
O 0.1709 0.3419 0.6906  1 Nb 1.87
O 0.1709 0.8291 0.6906  1 Nb 1.87
O 0.3232 0.1616 0.5265  1 Nb 1.89
O 0.3448 0.1724 0.1174  1 Nb 1.90
O 0.4958 0.5042 0.2533  2 Nb 2.07-2.23
O 0.4958 0.9916 0.2533  2 Nb 2.07-2.23
O 0.5020 0.0041 0.9515  1 Mo 1.80
O 0.5020 0.4980 0.9515  1 Mo 1.80
O 0.6581 0.8291 0.6906  1 Nb 1.87
O 0.6600 0.8300 0.3903  2 Nb 2.01-2.25
O 0.6667 0.3333 0.8103  1 Mo 1.80
O 0.8276 0.1724 0.1174  1 Nb 1.90
O 0.8276 0.6552 0.1174  1 Nb 1.90
O 0.8384 0.1616 0.5265  1 Nb 1.89
O 0.8384 0.6768 0.5265  1 Nb 1.89
O 0.9959 0.4980 0.9515  1 Mo 1.80